## K3V2ZnO8 (PBE with a Hubbard U)

Data for K3V2ZnO8 after structural relaxation.

a = 5.8113 Å, b = 5.8113 Å, c = 7.5700 Å
α = 90.00°, β = 90.00°, γ = 120.00°
Space group P-3m1 (No. 164)
Unique sites:
1 K 0.0000 0.0000 0.0000
2 K 0.3333 0.6667 0.6808
3 V 0.3333 0.6667 0.2523
4 Zn 0.0000 0.0000 0.5000
5 O 0.1696 0.3391 0.3316
6 O 0.3333 0.6667 0.0266

## Properties
Total magnetic moment: 1.09 μB/cell
DFT total energy: -5.990 eV/atom
Fermi-level density of states: 0.632 states/eV/atom